First-principles (PBEsol) data for a geometry-optimized BaSr3La structure, as listed in Alexandria via LeMat-Bulk.

Cell and atoms, written as POSCAR:
```
BaSr3La
1.0
6.192 0.000 0.000
0.000 6.192 0.000
0.000 0.000 6.192
Ba Sr La
1 3 1
Direct
0.000 0.000 0.000
0.000 0.000 0.500
0.000 0.500 0.000
0.500 0.000 0.000
0.500 0.500 0.500
```

## Properties
DOS(E_F) = 10.87 states/eV/f.u.
VASP energy = -1.88 eV/atom
Magnetization = 0.02 μB per cell
Formation energy from the elements = 3.6 eV per formula unit